Below is a relaxed structure of CsPrI2O8, with properties calculated at the PBE-GGA level.

The space-group type is P-3. The energy comes out at -5.073 eV/atom. The volume comes out at 25.6 A^3/atom. The calculation puts the formation energy without anion corrections at -1040 meV per atom. The total moment is 1.9 μB/cell.

Cell and atoms, written as CIF:
```
data_CsPrI2O8
_chemical_formula_sum 'Cs1 Pr1 I2 O8'
_cell_length_a 6.376
_cell_length_b 6.376
_cell_length_c 8.727
_cell_angle_alpha 90.00
_cell_angle_beta 90.00
_cell_angle_gamma 120.00
_symmetry_space_group_name_H-M 'P 1'
_symmetry_Int_Tables_number 1
loop_
_symmetry_equiv_pos_as_xyz
'x,y,z'
loop_
_atom_site_label
_atom_site_fract_x
_atom_site_fract_y
_atom_site_fract_z
O1 0.667 0.333 0.085
O2 0.883 0.669 0.329
O3 0.214 0.883 0.671
Cs1 0.000 0.000 0.000
O4 0.333 0.667 0.915
O5 0.786 0.117 0.329
O6 0.117 0.331 0.671
O7 0.669 0.786 0.671
I1 0.333 0.667 0.710
Pr1 0.000 0.000 0.500
I2 0.667 0.333 0.290
O8 0.331 0.214 0.329
```

***

Below is a relaxed structure of CsPtIO2, with properties calculated at the PBE-GGA level.

The space-group type is P4/mmm. As for the energy above the lowest structure with this stoichiometry: 0 meV/atom. The energy comes out at -3.654 eV/atom. The volume comes out at 22.7 A^3/atom. The calculation puts the formation energy without anion corrections at 19 meV per atom. The total moment is 1.5 μB/cell.

Cell and atoms, written as CIF:
```
data_CsPtIO2
_chemical_formula_sum 'Cs1 Pt1 I1 O2'
_cell_length_a 4.563
_cell_length_b 4.563
_cell_length_c 5.443
_cell_angle_alpha 90.00
_cell_angle_beta 90.00
_cell_angle_gamma 90.00
_symmetry_space_group_name_H-M 'P 1'
_symmetry_Int_Tables_number 1
loop_
_symmetry_equiv_pos_as_xyz
'x,y,z'
loop_
_atom_site_label
_atom_site_fract_x
_atom_site_fract_y
_atom_site_fract_z
O1 0.000 0.500 0.000
O2 0.500 0.000 0.000
Cs1 0.500 0.500 0.500
Pt1 0.000 0.000 0.000
I1 0.000 0.000 0.500
```

***

Below is a relaxed structure of Cs2PtIO, with properties calculated at the PBE-GGA level.

The space-group type is P4/mmm. The energy comes out at -3.842 eV/atom. The volume comes out at 34.6 A^3/atom. The calculation puts the formation energy without anion corrections at -991 meV per atom. The total moment is 0.5 μB/cell.

Cell and atoms, written as CIF:
```
data_Cs2PtIO
_chemical_formula_sum 'Cs2 Pt1 I1 O1'
_cell_length_a 6.676
_cell_length_b 6.676
_cell_length_c 3.877
_cell_angle_alpha 90.00
_cell_angle_beta 90.00
_cell_angle_gamma 90.00
_symmetry_space_group_name_H-M 'P 1'
_symmetry_Int_Tables_number 1
loop_
_symmetry_equiv_pos_as_xyz
'x,y,z'
loop_
_atom_site_label
_atom_site_fract_x
_atom_site_fract_y
_atom_site_fract_z
I1 0.500 0.500 0.500
O1 0.000 0.000 0.000
Pt1 0.000 0.000 0.500
Cs1 0.500 0.000 0.000
Cs2 0.000 0.500 0.000
```

***

Below is a relaxed structure of CsPtIO2, with properties calculated at the PBE-GGA level.

The space-group type is P4/mmm. As for the energy above the lowest structure with this stoichiometry: 751 meV/atom. The energy comes out at -2.902 eV/atom. The volume comes out at 30.0 A^3/atom. The calculation puts the formation energy without anion corrections at 770 meV per atom. The total moment is 0.2 μB/cell.

Cell and atoms, written as CIF:
```
data_CsPtIO2
_chemical_formula_sum 'Cs1 Pt1 I1 O2'
_cell_length_a 4.189
_cell_length_b 4.189
_cell_length_c 8.546
_cell_angle_alpha 90.00
_cell_angle_beta 90.00
_cell_angle_gamma 90.00
_symmetry_space_group_name_H-M 'P 1'
_symmetry_Int_Tables_number 1
loop_
_symmetry_equiv_pos_as_xyz
'x,y,z'
loop_
_atom_site_label
_atom_site_fract_x
_atom_site_fract_y
_atom_site_fract_z
O1 0.000 0.500 0.000
Pt1 0.500 0.500 0.500
I1 0.000 0.000 0.500
Cs1 0.000 0.000 0.000
O2 0.500 0.000 0.000
```

***

Below is a relaxed structure of Cs2PuI2O2, with properties calculated at the PBE-GGA level.

The space-group type is I4/mmm. The energy comes out at -5.901 eV/atom. The volume comes out at 31.2 A^3/atom. The calculation puts the formation energy without anion corrections at -1750 meV per atom. The total moment is 4.0 μB/cell.

Cell and atoms, written as CIF:
```
data_Cs2PuI2O2
_chemical_formula_sum 'Cs2 Pu1 I2 O2'
_cell_length_a 4.656
_cell_length_b 4.656
_cell_length_c 10.594
_cell_angle_alpha 102.69
_cell_angle_beta 102.69
_cell_angle_gamma 90.00
_symmetry_space_group_name_H-M 'P 1'
_symmetry_Int_Tables_number 1
loop_
_symmetry_equiv_pos_as_xyz
'x,y,z'
loop_
_atom_site_label
_atom_site_fract_x
_atom_site_fract_y
_atom_site_fract_z
Cs1 0.391 0.391 0.783
I1 0.834 0.834 0.668
Pu1 0.000 0.000 0.000
I2 0.166 0.166 0.332
Cs2 0.609 0.609 0.217
O1 0.500 0.000 0.000
O2 0.000 0.500 0.000
```

***

Below is a relaxed structure of Cs2PuIO6, with properties calculated at the PBE-GGA level.

The space-group type is Cm. The energy comes out at -6.310 eV/atom. The volume comes out at 19.0 A^3/atom. The calculation puts the formation energy without anion corrections at -1576 meV per atom. The total moment is 3.0 μB/cell.

Cell and atoms, written as CIF:
```
data_Cs2PuIO6
_chemical_formula_sum 'Cs2 Pu1 I1 O6'
_cell_length_a 6.453
_cell_length_b 6.436
_cell_length_c 6.451
_cell_angle_alpha 120.04
_cell_angle_beta 119.95
_cell_angle_gamma 89.80
_symmetry_space_group_name_H-M 'P 1'
_symmetry_Int_Tables_number 1
loop_
_symmetry_equiv_pos_as_xyz
'x,y,z'
loop_
_atom_site_label
_atom_site_fract_x
_atom_site_fract_y
_atom_site_fract_z
O1 0.233 0.224 0.010
O2 0.726 0.277 0.001
I1 0.057 0.020 0.038
O3 0.725 0.724 0.447
O4 0.234 0.786 0.010
Cs1 0.774 0.259 0.516
Pu1 0.526 0.509 0.017
Cs2 0.267 0.756 0.511
O5 0.725 0.724 0.001
O6 0.233 0.224 0.447
```

***

Below is a relaxed structure of CsPuIO6, with properties calculated at the PBE-GGA level.

The space-group type is P1. The energy comes out at -6.745 eV/atom. The volume comes out at 22.1 A^3/atom. The calculation puts the formation energy without anion corrections at -1580 meV per atom. The total moment is 2.0 μB/cell.

Cell and atoms, written as CIF:
```
data_CsPuIO6
_chemical_formula_sum 'Cs1 Pu1 I1 O6'
_cell_length_a 5.861
_cell_length_b 5.869
_cell_length_c 6.535
_cell_angle_alpha 90.31
_cell_angle_beta 89.97
_cell_angle_gamma 62.17
_symmetry_space_group_name_H-M 'P 1'
_symmetry_Int_Tables_number 1
loop_
_symmetry_equiv_pos_as_xyz
'x,y,z'
loop_
_atom_site_label
_atom_site_fract_x
_atom_site_fract_y
_atom_site_fract_z
O1 0.908 0.462 0.307
Pu1 0.684 0.683 0.501
O2 0.605 0.035 0.335
Cs1 0.992 0.992 0.000
O3 0.360 0.604 0.333
O4 0.606 0.359 0.667
O5 0.462 0.906 0.694
I1 0.354 0.350 0.499
O6 0.028 0.610 0.665
```

***

Below is a relaxed structure of CsPuI2O8, with properties calculated at the PBE-GGA level.

The space-group type is C2/m. The energy comes out at -5.968 eV/atom. The volume comes out at 20.1 A^3/atom. The calculation puts the formation energy without anion corrections at -1139 meV per atom. The total moment is 0.5 μB/cell.

Cell and atoms, written as CIF:
```
data_CsPuI2O8
_chemical_formula_sum 'Cs1 Pu1 I2 O8'
_cell_length_a 5.872
_cell_length_b 8.025
_cell_length_c 7.991
_cell_angle_alpha 44.17
_cell_angle_beta 68.44
_cell_angle_gamma 68.54
_symmetry_space_group_name_H-M 'P 1'
_symmetry_Int_Tables_number 1
loop_
_symmetry_equiv_pos_as_xyz
'x,y,z'
loop_
_atom_site_label
_atom_site_fract_x
_atom_site_fract_y
_atom_site_fract_z
O1 0.913 0.444 0.730
O2 0.136 0.976 0.194
I1 0.218 0.348 0.217
O3 0.306 0.024 0.806
O4 0.087 0.556 0.270
O5 0.719 0.444 0.117
O6 0.281 0.556 0.883
Cs1 0.500 0.500 0.500
I2 0.782 0.652 0.783
Pu1 0.000 0.000 0.000
O7 0.694 0.976 0.194
O8 0.864 0.024 0.806
```

***

Below is a relaxed structure of Cs2RbIO4, with properties calculated at the PBE-GGA level.

The space-group type is I-4. The energy comes out at -4.011 eV/atom. The volume comes out at 28.4 A^3/atom. The calculation puts the formation energy without anion corrections at -1003 meV per atom. The total moment is 0.0 μB/cell.

Cell and atoms, written as CIF:
```
data_Cs2RbIO4
_chemical_formula_sum 'Cs2 Rb1 I1 O4'
_cell_length_a 6.940
_cell_length_b 6.940
_cell_length_c 6.940
_cell_angle_alpha 85.83
_cell_angle_beta 122.44
_cell_angle_gamma 122.44
_symmetry_space_group_name_H-M 'P 1'
_symmetry_Int_Tables_number 1
loop_
_symmetry_equiv_pos_as_xyz
'x,y,z'
loop_
_atom_site_label
_atom_site_fract_x
_atom_site_fract_y
_atom_site_fract_z
Cs1 0.500 0.750 0.250
O1 0.020 0.230 0.589
I1 0.000 0.500 0.500
O2 0.640 0.411 0.431
O3 0.360 0.791 0.770
Cs2 0.000 0.000 0.000
Rb1 0.500 0.250 0.750
O4 0.980 0.569 0.209
```

***

Below is a relaxed structure of CsRb2IO4, with properties calculated at the PBE-GGA level.

The space-group type is I-4. The energy comes out at -3.994 eV/atom. The volume comes out at 26.5 A^3/atom. The calculation puts the formation energy without anion corrections at -973 meV per atom. The total moment is 0.0 μB/cell.

Cell and atoms, written as CIF:
```
data_CsRb2IO4
_chemical_formula_sum 'Cs1 Rb2 I1 O4'
_cell_length_a 6.512
_cell_length_b 6.512
_cell_length_c 6.512
_cell_angle_alpha 106.43
_cell_angle_beta 111.01
_cell_angle_gamma 111.01
_symmetry_space_group_name_H-M 'P 1'
_symmetry_Int_Tables_number 1
loop_
_symmetry_equiv_pos_as_xyz
'x,y,z'
loop_
_atom_site_label
_atom_site_fract_x
_atom_site_fract_y
_atom_site_fract_z
O1 0.693 0.505 0.487
O2 0.018 0.513 0.205
Rb1 0.000 0.000 0.000
O3 0.982 0.187 0.495
O4 0.307 0.795 0.813
Cs1 0.500 0.250 0.750
Rb2 0.500 0.750 0.250
I1 0.000 0.500 0.500
```

***

Which value of volume does entry 6 give? 19.0 A^3/atom